# TaI2Br PBE-GGA relaxed
# - polymorph energy (0 for the lowest one) (eV per atom) = 0.052
# - uncorrected formation energy (eV per atom) = -0.43
data_TaI2Br
_chemical_formula_sum 'Ta2 I4 Br2'
_cell_length_a 6.407
_cell_length_b 7.711
_cell_length_c 8.162
_cell_angle_alpha 102.44
_cell_angle_beta 100.99
_cell_angle_gamma 112.01
_symmetry_space_group_name_H-M 'P 1'
_symmetry_Int_Tables_number 1
loop_
_symmetry_equiv_pos_as_xyz
'x,y,z'
loop_
_atom_site_label
_atom_site_fract_x
_atom_site_fract_y
_atom_site_fract_z
Ta1 0.000 0.000 0.000
Ta2 0.401 0.109 0.911
I1 0.085 0.725 0.770
I2 0.325 0.380 0.155
I3 0.372 0.317 0.687
I4 0.684 0.982 0.707
Br1 0.005 0.805 0.206
Br2 0.718 0.130 0.173